An optimized crystal structure of Pr2Al5Rh. Source: Alexandria, functional GGA-PBE.

Cell: 6.2078 6.2078 9.2804 Å, 90.00 90.00 90.00°
Closest atoms and distances in Å follow each position.
Space group I4mm (No. 107)
Symmetry-distinct sites (fractional):
1 Pr 0.0000 0.5000 0.0000 x4  10 Al 3.12-3.22
2 Al 0.0000 0.0000 0.4702 x2  1 Rh 2.42
3 Al 0.2211 0.2211 0.2526 x8  1 Rh 2.46, 2 Al 2.75
4 Rh 0.0000 0.0000 0.7313 x2  5 Al 2.42-2.46

Magnetic moment ... 0.00 μB per formula unit
E_tot ... -4.904 eV per atom
Calculated formation energy ... -0.4514 eV per atom
DOS at the Fermi energy ... 8.17 states/eV/cell